1.
Density functional theory data (SCAN) for a crystal of LaHf3Si relaxed with PBEsol.

```
5
Lattice="4.998 0.000 0.000 0.000 4.998 0.000 0.000 0.000 4.998" Properties=species:S:1:pos:R:3 pbc="T T T"
Si 0.000 0.000 0.000
Hf 0.000 2.499 0.000
Hf 0.000 0.000 2.499
Hf 2.499 0.000 0.000
La 2.499 2.499 2.499
```

Summary:
* formation energy (no corrections): 0.23 eV/atom

2.
Density functional theory data (SCAN) for a crystal of LiEu2Ir relaxed with PBEsol.

```
4
Lattice="-1.326 -3.739 -3.008 -1.998 -4.142 1.909 -4.819 -1.009 -0.741" Properties=species:S:1:pos:R:3 pbc="T T T"
Li 0.000 0.000 0.000
Eu -2.036 -2.223 -0.460
Eu -6.108 -6.668 -1.380
Ir -4.072 -4.445 -0.920
```

Summary:
* formation energy: -0.32 eV per atom

3.
Density functional theory data (SCAN) for a crystal of TiBeTl2Ga relaxed with PBEsol.

```
5
Lattice="4.112 0.000 0.000 0.000 5.294 0.000 0.000 0.000 5.294" Properties=species:S:1:pos:R:3 pbc="T T T"
Be 2.056 0.000 0.000
Tl 0.000 0.000 2.647
Tl 0.000 2.647 0.000
Ga 0.000 0.000 0.000
Ti 2.056 2.647 2.647
```

Summary:
* formation energy: 0.78 eV per atom

4.
Density functional theory data (SCAN) for a crystal of NiAu2 relaxed with PBEsol.

```
12
Lattice="3.963 0.000 0.000 0.000 5.488 0.000 0.000 0.000 8.175" Properties=species:S:1:pos:R:3 pbc="T T T"
Au 2.972 4.972 6.248
Au 2.972 4.694 3.459
Au 0.991 3.537 7.547
Au 0.991 3.259 2.160
Au 2.972 2.228 6.015
Au 2.972 1.951 0.629
Au 0.991 0.793 4.716
Au 0.991 0.516 1.927
Ni 2.972 4.736 0.694
Ni 0.991 3.495 4.782
Ni 2.972 1.992 3.394
Ni 0.991 0.751 7.481
```

Summary:
* formation energy: 0.08 eV per atom

5.
Density functional theory data (SCAN) for a crystal of CaY2Ni relaxed with PBEsol.

```
4
Lattice="-1.230 2.021 2.466 -2.025 -2.536 1.069 6.588 -2.879 5.645" Properties=species:S:1:pos:R:3 pbc="T T T"
Y 4.424 -1.934 3.791
Y 2.164 -0.946 1.854
Ni 1.667 -1.697 4.590
Ca -1.627 -0.258 1.768
```

Summary:
* formation energy: -0.14 eV per atom

6.
Density functional theory data (SCAN) for a crystal of CaCo2Ag relaxed with PBEsol.

```
4
Lattice="2.894 0.000 -0.009 0.000 4.574 0.000 -0.758 0.000 5.153" Properties=species:S:1:pos:R:3 pbc="T T T"
Ca -0.379 2.287 2.576
Co 1.431 0.000 4.265
Co 0.705 0.000 0.879
Ag 1.447 2.287 -0.004
```

Summary:
* formation energy: 0.45 eV per atom

7.
Density functional theory data (SCAN) for a crystal of LiCrRe2Br relaxed with PBEsol.

```
5
Lattice="4.386 0.000 0.000 0.000 4.386 0.000 0.000 0.000 5.521" Properties=species:S:1:pos:R:3 pbc="T T T"
Re 0.000 2.193 0.000
Re 2.193 0.000 0.000
Li 0.000 0.000 2.761
Br 2.193 2.193 2.761
Cr 0.000 0.000 0.000
```

Summary:
* formation energy (no corrections): 1.53 eV/atom

8.
Density functional theory data (SCAN) for a crystal of Cr3Ir relaxed with PBEsol.

```
8
Lattice="-1.877 3.581 2.173 -3.253 -2.747 1.717 2.640 -0.838 3.661" Properties=species:S:1:pos:R:3 pbc="T T T"
Cr 0.507 -1.106 2.260
Cr -1.120 -2.479 3.118
Cr -2.096 -0.478 1.402
Cr -0.279 1.581 2.002
Cr 1.041 1.162 3.832
Cr -3.034 1.313 2.488
Ir 0.000 0.000 0.000
Ir -1.245 -0.002 3.775
```

Summary:
* formation energy: -0.14 eV per atom

9.
Density functional theory data (SCAN) for a crystal of Be2Ge2H relaxed with PBEsol.

```
5
Lattice="3.395 0.000 0.000 0.000 3.395 0.000 -1.697 -1.697 5.393" Properties=species:S:1:pos:R:3 pbc="T T T"
Be 0.000 1.697 2.697
Be 1.697 0.000 2.697
Ge 0.000 0.000 4.209
Ge 1.697 1.697 1.184
H 0.000 0.000 0.000
```

Summary:
* final energy: -9.379 eV/atom

10.
Density functional theory data (SCAN) for a crystal of GaReNF2 relaxed with PBEsol.

```
5
Lattice="-2.491 1.998 2.090 1.907 -1.275 3.492 2.526 3.323 -0.167" Properties=species:S:1:pos:R:3 pbc="T T T"
Re 0.000 0.000 0.000
N -1.245 0.999 1.045
Ga 0.971 2.023 2.707
F 1.263 1.662 -0.083
F 0.954 -0.637 1.746
```

Summary:
* formation energy (no corrections): -0.64 eV/atom

11.
Density functional theory data (SCAN) for a crystal of Fe2CoNi relaxed with PBEsol.

```
4
Lattice="-0.869 -1.592 -1.584 2.376 -0.021 -0.393 0.807 -5.587 5.172" Properties=species:S:1:pos:R:3 pbc="T T T"
Ni 0.402 -2.785 2.578
Co 0.958 -2.222 0.322
Fe 0.002 -0.012 0.012
Fe 1.355 -4.974 2.870
```

Summary:
* formation energy: -0.06 eV per atom

12.
Density functional theory data (SCAN) for a crystal of SnAs2I relaxed with PBEsol.

```
8
Lattice="6.851 0.245 0.348 -3.191 6.068 -0.348 -3.191 -2.367 5.598" Properties=species:S:1:pos:R:3 pbc="T T T"
I 0.000 0.000 0.000
I 0.234 4.081 1.312
As 4.332 3.524 0.830
As -2.267 -0.503 3.455
As 1.158 1.437 2.348
As -2.285 3.434 4.562
Sn -3.191 1.850 2.625
Sn 0.234 -0.136 4.285
```

Summary:
* formation energy (no corrections): 0.43 eV/atom

What DOS(E_F) values result from the calculations? In sequence: 4.72 9.13 3.25 7.66 3.53 2.18 1.88 9.52 2.00 1.67 2.55 7.13 states/eV/cell.